Entry 1:
# HgSbS2

Crystalline HgSbS2 at its relaxed geometry (PBE, Alexandria via LeMat-Bulk).

Summary:
Crystal system ... triclinic
E_form (uncorrected) ... -0.05 eV per atom
Total energy ... -3.2218 eV/atom
ΔE to the lowest computed polymorph ... 0.00 eV per formula unit

Unit cell a=3.7168 b=3.7193 c=9.9882 alpha=100.60 beta=90.06 gamma=119.96
Fractional positions:
Hg1 0.0814 0.9248 0.0523
Sb1 0.5850 0.9247 0.5522
S1 0.8650 0.4854 0.3920
S2 0.3050 0.3640 0.7124


Entry 2:
# HgSbS2

Crystalline HgSbS2 at its relaxed geometry (PBE, Alexandria via LeMat-Bulk).

Summary:
Crystal system ... trigonal
E_form (uncorrected) ... -0.04 eV per atom
Total energy ... -3.2050 eV/atom
ΔE to the lowest computed polymorph ... 0.07 eV per formula unit

Unit cell a=3.9352 b=3.9352 c=7.6228 alpha=75.04 beta=75.04 gamma=60.00
Fractional positions:
Hg1 0.4974 0.4974 0.5079
Sb1 0.6678 0.6678 0.9967
S1 0.0725 0.0725 0.7826
S2 0.2624 0.2624 0.2128